Material: Na2CoH4C4O8
Method: DFT, GGA+U
State: relaxed

Output
The crystal system is monoclinic. The value obtained for the total moment is 3.0 μB per formula unit. The calculated volume is 11.2 Å³ per atom. The calculation puts the total DFT energy (no corrections) at -0.230 hartree per atom.

Unit cell a=8.779 b=8.779 c=6.661 alpha=104.09 beta=104.09 gamma=59.95
Sites, in units of the cell vectors:
1 H 0.904 0.816 0.079
2 C 0.245 0.131 0.324
3 O 0.803 0.706 0.668
4 H 0.096 0.184 0.921
5 O 0.294 0.197 0.832
6 C 0.755 0.869 0.676
7 O 0.200 0.557 0.678
8 C 0.647 0.192 0.361
9 Na 0.489 0.306 0.817
10 O 0.004 0.355 0.714
11 O 0.557 0.200 0.178
12 O 0.301 0.592 0.020
13 H 0.816 0.904 0.579
14 C 0.192 0.647 0.861
15 O 0.443 0.800 0.822
16 C 0.869 0.755 0.176
17 Na 0.511 0.694 0.183
18 H 0.184 0.096 0.421
19 C 0.131 0.245 0.824
20 O 0.197 0.294 0.332
21 H 0.214 0.919 0.622
22 O 0.706 0.803 0.168
23 O 0.645 0.996 0.786
24 O 0.996 0.645 0.286
25 H 0.081 0.786 0.878
26 Na 0.694 0.511 0.683
27 C 0.353 0.808 0.639
28 Co 0.000 0.500 0.500
29 H 0.919 0.214 0.122
30 Na 0.306 0.489 0.317
31 O 0.408 0.699 0.480
32 C 0.808 0.353 0.139
33 O 0.699 0.408 0.980
34 Co 0.500 0.000 0.000
35 O 0.592 0.301 0.520
36 O 0.800 0.443 0.322
37 O 0.355 0.004 0.214
38 H 0.786 0.081 0.378